Entry 1:
! Sm4ErSc4 | the Alexandria database | PBE | relaxed; values from VASP
&SYSTEM
  ibrav = 0, nat = 9, ntyp = 3
/
ATOMIC_SPECIES
Sc 44.96 Sc.upf
Sm 150.36 Sm.upf
Er 167.26 Er.upf
CELL_PARAMETERS angstrom
-2.799 -0.845 -3.900
-7.192 -1.405 2.420
-2.943 6.722 -2.389
ATOMIC_POSITIONS crystal
Sc 0.335 0.000 0.331
Sc 0.665 0.669 0.000
Sc 0.665 0.000 0.669
Sc 0.335 0.331 0.000
Sm 0.000 0.673 0.327
Sm 0.673 0.327 0.327
Sm 0.000 0.327 0.673
Sm 0.327 0.673 0.673
Er 0.000 0.000 0.000
! Calculated total energy   -5.360 eV/atom
! Size of the total moment   0.000 μB per atom
! Calculated formation energy   0.06 eV/atom
! ρ   6.03 Mg/m³
! Fermi-level density of states   1.607 states/eV per atom

Entry 2:
! Cd2InCI | the Alexandria database | PBE | relaxed; values from VASP
&SYSTEM
  ibrav = 0, nat = 5, ntyp = 4
/
ATOMIC_SPECIES
Cd 112.41 Cd.upf
In 114.82 In.upf
I 126.90 I.upf
C 12.01 C.upf
CELL_PARAMETERS angstrom
6.377 0.000 0.000
0.000 6.728 0.000
0.000 0.000 6.377
ATOMIC_POSITIONS crystal
Cd 0.500 0.000 0.000
Cd 0.000 0.000 0.500
In 0.000 0.500 0.000
I 0.000 0.000 0.000
C 0.500 0.500 0.500
! Energy relative to the elements, uncorrected   1751.6 meV per atom
! Calculated total energy   -1.317 eV/atom
! Size of the total moment   0.522 μB per atom
! ρ   2.90 Mg/m³
! Fermi-level density of states   0.741 states/eV per atom

Entry 3:
! KLaF4 | the Alexandria database | PBE | relaxed; values from VASP
&SYSTEM
  ibrav = 0, nat = 6, ntyp = 3
/
ATOMIC_SPECIES
K 39.10 K.upf
La 138.91 La.upf
F 19.00 F.upf
CELL_PARAMETERS angstrom
-4.064 -0.459 0.351
0.244 -3.623 -1.915
0.800 -2.865 5.523
ATOMIC_POSITIONS crystal
K 0.000 0.000 0.000
La 0.500 0.500 0.500
F 0.500 0.000 0.286
F 0.000 0.500 0.286
F 0.500 0.000 0.714
F 0.000 0.500 0.714
! Energy relative to the elements, uncorrected   -3750.1 meV per atom
! Calculated total energy   -6.002 eV/atom
! Size of the total moment   0.000 μB per atom
! ρ   3.99 Mg/m³
! Fermi-level density of states   0.000 states/eV per atom

Entry 4:
! Tm2Al3Ga3 | the Alexandria database | PBE | relaxed; values from VASP
&SYSTEM
  ibrav = 0, nat = 8, ntyp = 3
/
ATOMIC_SPECIES
Tm 168.93 Tm.upf
Ga 69.72 Ga.upf
Al 26.98 Al.upf
CELL_PARAMETERS angstrom
4.183 0.000 0.000
0.000 4.238 0.000
0.000 0.000 8.522
ATOMIC_POSITIONS crystal
Tm 0.000 0.000 0.247
Tm 0.000 0.000 0.753
Ga 0.500 0.000 0.000
Ga 0.500 0.500 0.257
Ga 0.500 0.500 0.743
Al 0.000 0.500 0.500
Al 0.500 0.000 0.500
Al 0.000 0.500 0.000
! Calculated total energy   -4.117 eV/atom
! Size of the total moment   0.000 μB per atom
! Calculated formation energy   -0.46 eV/atom
! ρ   6.90 Mg/m³
! Fermi-level density of states   0.286 states/eV per atom

Entry 5:
! AsAuBr2 | the Alexandria database | PBE | relaxed; values from VASP
&SYSTEM
  ibrav = 0, nat = 4, ntyp = 3
/
ATOMIC_SPECIES
Br 79.90 Br.upf
Au 196.97 Au.upf
As 74.92 As.upf
CELL_PARAMETERS angstrom
4.625 0.015 0.043
3.244 3.296 0.043
1.512 0.636 7.185
ATOMIC_POSITIONS crystal
Br 0.076 0.076 0.997
Br 0.424 0.424 0.503
Au 0.750 0.750 0.750
As 0.250 0.250 0.250
! Energy relative to the elements, uncorrected   338.6 meV per atom
! Calculated total energy   -2.480 eV/atom
! Size of the total moment   0.000 μB per atom
! ρ   6.58 Mg/m³
! Fermi-level density of states   0.468 states/eV per atom

Entry 6:
! Sc4CoIr3 | the Alexandria database | PBE | relaxed; values from VASP
&SYSTEM
  ibrav = 0, nat = 8, ntyp = 3
/
ATOMIC_SPECIES
Sc 44.96 Sc.upf
Ir 192.22 Ir.upf
Co 58.93 Co.upf
CELL_PARAMETERS angstrom
4.373 0.000 -1.180
-0.314 4.366 -1.163
-0.411 -0.471 7.165
ATOMIC_POSITIONS crystal
Sc 0.623 0.623 0.246
Sc 0.123 0.123 0.246
Sc 0.877 0.877 0.754
Sc 0.377 0.377 0.754
Ir 0.749 0.249 0.498
Ir 0.000 0.500 0.000
Ir 0.251 0.751 0.502
Co 0.500 0.000 0.000
! Calculated total energy   -8.250 eV/atom
! Size of the total moment   0.048 μB per atom
! Calculated formation energy   -0.87 eV/atom
! ρ   10.25 Mg/m³
! Fermi-level density of states   0.269 states/eV per atom

Entry 7:
! B12W | the Alexandria database | PBE | relaxed; values from VASP
&SYSTEM
  ibrav = 0, nat = 13, ntyp = 2
/
ATOMIC_SPECIES
B 10.81 B.upf
W 183.84 W.upf
CELL_PARAMETERS angstrom
-2.212 2.499 3.971
-2.478 4.483 -0.814
-5.169 0.211 0.375
ATOMIC_POSITIONS crystal
B 0.500 0.840 0.160
B 0.160 0.840 0.500
B 0.840 0.500 0.160
B 0.500 0.160 0.500
B 0.500 0.160 0.840
B 0.500 0.500 0.840
B 0.840 0.500 0.500
B 0.500 0.500 0.160
B 0.160 0.500 0.500
B 0.500 0.840 0.500
B 0.840 0.160 0.500
B 0.160 0.500 0.840
W 0.000 0.000 0.000
! Calculated total energy   -6.950 eV/atom
! Size of the total moment   0.000 μB per atom
! Calculated formation energy   0.21 eV/atom
! ρ   5.28 Mg/m³
! Fermi-level density of states   0.332 states/eV per atom

Entry 8:
! Th2Be3Cu12Pt | the Alexandria database | PBE | relaxed; values from VASP
&SYSTEM
  ibrav = 0, nat = 18, ntyp = 4
/
ATOMIC_SPECIES
Cu 63.55 Cu.upf
Th 232.04 Th.upf
Be 9.01 Be.upf
Pt 195.08 Pt.upf
CELL_PARAMETERS angstrom
-7.121 -1.141 -1.259
-2.248 -6.935 -0.678
-3.993 -2.812 5.454
ATOMIC_POSITIONS crystal
Cu 0.334 0.334 0.894
Cu 0.872 0.872 0.398
Cu 0.602 0.128 0.128
Cu 0.666 0.666 0.106
Cu 0.106 0.666 0.666
Cu 0.666 0.106 0.666
Cu 0.398 0.872 0.872
Cu 0.872 0.398 0.872
Cu 0.894 0.334 0.334
Cu 0.128 0.602 0.128
Cu 0.128 0.128 0.602
Cu 0.334 0.894 0.334
Th 0.396 0.396 0.396
Th 0.604 0.604 0.604
Be 0.500 0.000 0.000
Be 0.000 0.500 0.000
Be 0.000 0.000 0.500
Pt 0.000 0.000 0.000
! Calculated total energy   -4.187 eV/atom
! Size of the total moment   0.000 μB per atom
! Calculated formation energy   0.32 eV/atom
! ρ   8.22 Mg/m³
! Fermi-level density of states   0.457 states/eV per atom

Entry 9:
! Fe5Pd4Rh | the Alexandria database | PBE | relaxed; values from VASP
&SYSTEM
  ibrav = 0, nat = 10, ntyp = 3
/
ATOMIC_SPECIES
Fe 55.84 Fe.upf
Pd 106.42 Pd.upf
Rh 102.91 Rh.upf
CELL_PARAMETERS angstrom
-1.152 2.478 -0.383
-0.064 -0.450 -2.721
-16.502 -7.422 1.617
ATOMIC_POSITIONS crystal
Fe 0.500 0.500 0.701
Fe 0.500 0.500 0.299
Fe 0.500 0.500 0.904
Fe 0.500 0.500 0.096
Fe 0.500 0.500 0.500
Pd 0.000 0.000 0.601
Pd 0.000 0.000 0.399
Pd 0.000 0.000 0.801
Pd 0.000 0.000 0.199
Rh 0.000 0.000 0.000
! Calculated total energy   -7.071 eV/atom
! Size of the total moment   0.340 μB per atom
! Calculated formation energy   -0.03 eV/atom
! ρ   9.70 Mg/m³
! Fermi-level density of states   1.073 states/eV per atom

Entry 10:
! BaV2Hg2 | the Alexandria database | PBE | relaxed; values from VASP
&SYSTEM
  ibrav = 0, nat = 10, ntyp = 3
/
ATOMIC_SPECIES
V 50.94 V.upf
Ba 137.33 Ba.upf
Hg 200.59 Hg.upf
CELL_PARAMETERS angstrom
8.708 0.000 0.000
0.000 8.708 0.000
0.000 0.000 3.211
ATOMIC_POSITIONS crystal
V 0.576 0.924 0.500
V 0.924 0.424 0.500
V 0.424 0.076 0.500
V 0.076 0.576 0.500
Ba 0.500 0.500 0.000
Ba 0.000 0.000 0.000
Hg 0.200 0.300 0.000
Hg 0.300 0.800 0.000
Hg 0.700 0.200 0.000
Hg 0.800 0.700 0.000
! Calculated total energy   -3.627 eV/atom
! Size of the total moment   0.023 μB per atom
! Calculated formation energy   0.53 eV/atom
! ρ   8.74 Mg/m³
! Fermi-level density of states   1.039 states/eV per atom

Entry 11:
! ScTl3Cd | the Alexandria database | PBE | relaxed; values from VASP
&SYSTEM
  ibrav = 0, nat = 5, ntyp = 3
/
ATOMIC_SPECIES
Tl 204.38 Tl.upf
Sc 44.96 Sc.upf
Cd 112.41 Cd.upf
CELL_PARAMETERS angstrom
5.522 0.000 0.000
0.000 5.522 0.000
0.000 0.000 5.522
ATOMIC_POSITIONS crystal
Tl 0.000 0.500 0.000
Tl 0.500 0.000 0.000
Tl 0.000 0.000 0.500
Sc 0.500 0.500 0.500
Cd 0.000 0.000 0.000
! Calculated total energy   -2.325 eV/atom
! Size of the total moment   0.000 μB per atom
! Calculated formation energy   0.54 eV/atom
! ρ   7.60 Mg/m³
! Fermi-level density of states   1.003 states/eV per atom

Entry 12:
! CeDyNiPt | the Alexandria database | PBE | relaxed; values from VASP
&SYSTEM
  ibrav = 0, nat = 4, ntyp = 4
/
ATOMIC_SPECIES
Ni 58.69 Ni.upf
Ce 140.12 Ce.upf
Pt 195.08 Pt.upf
Dy 162.50 Dy.upf
CELL_PARAMETERS angstrom
3.723 0.000 0.000
0.000 4.338 0.000
-1.862 0.000 5.350
ATOMIC_POSITIONS crystal
Ni 0.410 0.000 0.821
Ce 0.865 0.500 0.731
Pt 0.584 0.500 0.167
Dy 0.141 0.000 0.281
! Calculated total energy   -6.385 eV/atom
! Size of the total moment   0.069 μB per atom
! Calculated formation energy   -0.80 eV/atom
! ρ   10.69 Mg/m³
! Fermi-level density of states   1.460 states/eV per atom

Entry 13:
! Ti2BCl | the Alexandria database | PBE | relaxed; values from VASP
&SYSTEM
  ibrav = 0, nat = 8, ntyp = 3
/
ATOMIC_SPECIES
B 10.81 B.upf
Ti 47.87 Ti.upf
Cl 35.45 Cl.upf
CELL_PARAMETERS angstrom
5.223 0.000 0.000
0.000 5.223 0.000
2.611 2.611 5.159
ATOMIC_POSITIONS crystal
B 0.500 0.500 0.000
B 0.250 0.750 0.500
Ti 0.566 0.125 0.250
Ti 0.184 0.625 0.250
Ti 0.875 0.816 0.750
Ti 0.375 0.434 0.750
Cl 0.750 0.250 0.500
Cl 0.000 0.000 0.000
! Energy relative to the elements, uncorrected   -160.6 meV per atom
! Calculated total energy   -6.239 eV/atom
! Size of the total moment   0.000 μB per atom
! ρ   3.35 Mg/m³
! Fermi-level density of states   0.614 states/eV per atom